Record 1
Crystalline Ba2NaOsSe6 at its relaxed geometry, computed with PBE-GGA.

Geometry as POSCAR:
```
Ba2NaOsSe6
1.0
6.180 0.000 0.000
-3.086 6.653 0.000
-3.069 -1.549 6.710
Ba Na Os Se
2 1 1 6
direct
0.019 0.772 0.266
0.981 0.228 0.734
0.500 0.500 0.500
0.500 0.000 0.000
0.455 0.271 0.166
0.979 0.272 0.166
0.589 0.862 0.318
0.411 0.138 0.682
0.021 0.728 0.834
0.545 0.729 0.834
```

Output
Magnetization ... 1.4 μB per formula unit
ΔE to the lowest computed polymorph ... 0.0 meV per atom
SG ... No. 2

=====

Record 2
Crystalline Ba2NaOsSe6 at its relaxed geometry, computed with PBE-GGA.

Geometry as POSCAR:
```
Ba2NaOsSe6
1.0
6.656 -3.094 0.000
6.656 3.094 0.000
-5.112 0.000 6.710
Ba Na Os Se
2 1 1 6
direct
0.748 0.748 0.266
0.252 0.252 0.734
0.500 0.500 0.500
0.000 0.000 0.000
0.686 0.209 0.166
0.209 0.686 0.166
0.228 0.228 0.319
0.772 0.772 0.681
0.791 0.314 0.834
0.314 0.791 0.834
```

Output
Magnetization ... 1.4 μB per formula unit
ΔE to the lowest computed polymorph ... 0.0 meV per atom
SG ... No. 12